Below is a relaxed structure of Sm2TiCoO6, with properties calculated at the PBE+U level.

a b c (Å): 5.417 5.719 9.440
angles (deg): 90.00 124.54 90.00
Space group P2_1/c (No. 14)
Inequivalent atoms, fractional coordinates:
Sm1 0.231 0.066 0.249 [4 per cell]
Ti1 0.500 0.000 0.000 [2 per cell]
Co1 0.000 0.000 0.500 [2 per cell]
O1 0.154 0.190 0.949 [4 per cell]
O2 0.257 0.710 0.943 [4 per cell]
O3 0.362 0.036 0.758 [4 per cell]

uncorrected energy = -8.12 eV per atom